This record from Alexandria via LeMat-Bulk describes V2O3F at its PBEsol-relaxed geometry. The functional is meta-GGA SCAN.

Values from the calculation:
E_form (uncorrected) = -2.813 eV per atom

abc: 2.859 4.619 4.619
angles: 86.70 90.00 90.00
Fractional coordinates of all 6 atoms:
V  0.000  0.000  0.000
V  0.500  0.459  0.459
O  0.000  0.278  0.682
O  0.000  0.682  0.278
O  0.500  0.183  0.183
F  0.500  0.779  0.779

This record from Alexandria via LeMat-Bulk describes V2O3F at its PBEsol-relaxed geometry. The functional is meta-GGA SCAN.

Values from the calculation:
E_form (uncorrected) = -2.795 eV per atom

abc: 5.440 5.440 6.955
angles: 108.54 108.54 76.74
Fractional coordinates of all 18 atoms:
V  0.000  0.000  0.000
V  0.346  0.316  0.333
V  0.381  0.288  0.836
V  0.684  0.654  0.667
V  0.712  0.619  0.164
V  0.976  0.024  0.500
O  0.117  0.081  0.799
O  0.247  0.216  0.533
O  0.451  0.415  0.135
O  0.585  0.549  0.865
O  0.654  0.018  0.836
O  0.709  0.291  0.500
O  0.784  0.753  0.467
O  0.919  0.883  0.201
O  0.982  0.346  0.164
F  0.056  0.611  0.836
F  0.311  0.689  0.500
F  0.389  0.944  0.164

This record from Alexandria via LeMat-Bulk describes WOF2 at its PBEsol-relaxed geometry. The functional is meta-GGA SCAN.

Values from the calculation:
E_form (uncorrected) = -0.376 eV per atom

abc: 8.462 8.462 8.462
angles: 18.50 18.50 18.50
Fractional coordinates of all 4 atoms:
W  0.000  0.000  0.000
O  0.500  0.500  0.500
F  0.393  0.393  0.393
F  0.607  0.607  0.607

This record from Alexandria via LeMat-Bulk describes WOF3 at its PBEsol-relaxed geometry. The functional is meta-GGA SCAN.

Values from the calculation:
E_form (uncorrected) = -2.493 eV per atom

abc: 5.025 5.557 9.208
angles: 90.00 90.00 90.00
Fractional coordinates of all 20 atoms:
W  0.147  0.117  0.142
W  0.353  0.883  0.642
W  0.647  0.383  0.858
W  0.853  0.617  0.358
O  0.012  0.382  0.246
O  0.488  0.618  0.746
O  0.512  0.118  0.754
O  0.988  0.882  0.254
F  0.029  0.884  0.741
F  0.165  0.650  0.498
F  0.224  0.111  0.508
F  0.276  0.889  0.008
F  0.335  0.350  0.998
F  0.471  0.116  0.241
F  0.529  0.616  0.259
F  0.665  0.850  0.502
F  0.724  0.389  0.492
F  0.776  0.611  0.992
F  0.835  0.150  0.002
F  0.971  0.384  0.759

This record from Alexandria via LeMat-Bulk describes W3O7F at its PBEsol-relaxed geometry. The functional is meta-GGA SCAN.

Values from the calculation:
E_form (uncorrected) = -2.171 eV per atom

abc: 6.244 6.244 3.792
angles: 90.00 90.00 120.15
Fractional coordinates of all 11 atoms:
W  0.000  0.000  0.000
W  0.304  0.696  0.000
W  0.696  0.304  0.000
O  0.000  0.000  0.500
O  0.039  0.339  0.000
O  0.307  0.693  0.500
O  0.339  0.039  0.000
O  0.661  0.961  0.000
O  0.693  0.307  0.500
O  0.961  0.661  0.000
F  0.500  0.500  0.000

This record from Alexandria via LeMat-Bulk describes W3OF at its PBEsol-relaxed geometry. The functional is meta-GGA SCAN.

Values from the calculation:
E_form (uncorrected) = 0.709 eV per atom

abc: 4.074 4.074 4.074
angles: 90.00 90.00 90.00
Fractional coordinates of all 5 atoms:
W  0.000  0.000  0.500
W  0.000  0.500  0.000
W  0.500  0.000  0.000
O  0.000  0.000  0.000
F  0.500  0.500  0.500

This record from Alexandria via LeMat-Bulk describes ZrWO2F at its PBEsol-relaxed geometry. The functional is meta-GGA SCAN.

Values from the calculation:
E_form (uncorrected) = -1.166 eV per atom

abc: 3.896 3.896 4.266
angles: 90.00 90.00 90.00
Fractional coordinates of all 5 atoms:
Zr  0.000  0.000  0.000
W  0.500  0.500  0.500
O  0.000  0.500  0.500
O  0.500  0.000  0.500
F  0.500  0.500  0.000

This record from Alexandria via LeMat-Bulk describes Y5O4F7 at its PBEsol-relaxed geometry. The functional is meta-GGA SCAN.

Values from the calculation:
E_form (uncorrected) = -4.290 eV per atom

abc: 14.014 14.014 5.386
angles: 90.25 90.25 22.64
Fractional coordinates of all 32 atoms:
Y  0.049  0.049  0.210
Y  0.123  0.172  0.788
Y  0.276  0.225  0.224
Y  0.300  0.403  0.789
Y  0.454  0.446  0.205
Y  0.554  0.546  0.795
Y  0.597  0.700  0.211
Y  0.775  0.724  0.776
Y  0.828  0.877  0.212
Y  0.951  0.951  0.790
O  0.044  0.552  0.039
O  0.123  0.677  0.020
O  0.264  0.736  0.000
O  0.323  0.877  0.980
O  0.448  0.956  0.961
O  0.620  0.174  0.970
O  0.763  0.237  0.000
O  0.826  0.380  0.030
F  0.151  0.349  0.615
F  0.159  0.841  0.500
F  0.238  0.583  0.534
F  0.262  0.084  0.406
F  0.417  0.762  0.466
F  0.434  0.219  0.407
F  0.546  0.054  0.953
F  0.651  0.849  0.385
F  0.655  0.345  0.500
F  0.751  0.077  0.449
F  0.781  0.566  0.593
F  0.916  0.738  0.594
F  0.923  0.249  0.551
F  0.946  0.454  0.047

This record from Alexandria via LeMat-Bulk describes ZnOF2 at its PBEsol-relaxed geometry. The functional is meta-GGA SCAN.

Values from the calculation:
E_form (uncorrected) = -0.742 eV per atom

abc: 3.760 3.760 3.760
angles: 60.00 60.00 60.00
Fractional coordinates of all 4 atoms:
Zn  0.000  0.000  0.000
O  0.500  0.500  0.500
F  0.250  0.250  0.250
F  0.750  0.750  0.750

This record from Alexandria via LeMat-Bulk describes Zr2OF at its PBEsol-relaxed geometry. The functional is meta-GGA SCAN.

Values from the calculation:
E_form (uncorrected) = -1.519 eV per atom

abc: 4.126 4.126 4.126
angles: 60.00 60.00 60.00
Fractional coordinates of all 4 atoms:
Zr  0.250  0.250  0.250
Zr  0.750  0.750  0.750
O  0.000  0.000  0.000
F  0.500  0.500  0.500

This record from Alexandria via LeMat-Bulk describes ZrO2F2 at its PBEsol-relaxed geometry. The functional is meta-GGA SCAN.

Values from the calculation:
E_form (uncorrected) = -2.528 eV per atom

abc: 4.132 4.132 4.017
angles: 90.00 90.00 90.00
Fractional coordinates of all 5 atoms:
Zr  0.000  0.000  0.000
O  0.000  0.000  0.500
O  0.500  0.500  0.500
F  0.000  0.500  0.000
F  0.500  0.000  0.000

This record from Alexandria via LeMat-Bulk describes POsS2F at its PBEsol-relaxed geometry. The functional is meta-GGA SCAN.

Values from the calculation:
E_form (uncorrected) = 1.482 eV per atom

abc: 4.412 4.412 3.712
angles: 90.00 90.00 90.00
Fractional coordinates of all 5 atoms:
P  0.000  0.000  0.000
Os  0.500  0.500  0.000
S  0.000  0.500  0.500
S  0.500  0.000  0.500
F  0.000  0.000  0.500

This record from Alexandria via LeMat-Bulk describes Os2PbF at its PBEsol-relaxed geometry. The functional is meta-GGA SCAN.

Values from the calculation:
E_form (uncorrected) = 1.164 eV per atom

abc: 4.448 4.448 4.448
angles: 60.00 60.00 60.00
Fractional coordinates of all 4 atoms:
Os  0.250  0.250  0.250
Os  0.750  0.750  0.750
Pb  0.000  0.000  0.000
F  0.500  0.500  0.500

This record from Alexandria via LeMat-Bulk describes OsPbF2 at its PBEsol-relaxed geometry. The functional is meta-GGA SCAN.

Values from the calculation:
E_form (uncorrected) = -0.041 eV per atom

abc: 4.397 4.397 4.397
angles: 60.00 60.00 60.00
Fractional coordinates of all 4 atoms:
Os  0.000  0.000  0.000
Pb  0.500  0.500  0.500
F  0.250  0.250  0.250
F  0.750  0.750  0.750

This record from Alexandria via LeMat-Bulk describes OsPb3F at its PBEsol-relaxed geometry. The functional is meta-GGA SCAN.

Values from the calculation:
E_form (uncorrected) = 0.508 eV per atom

abc: 4.803 4.803 4.803
angles: 90.00 90.00 90.00
Fractional coordinates of all 5 atoms:
Os  0.000  0.000  0.000
Pb  0.000  0.500  0.500
Pb  0.500  0.000  0.500
Pb  0.500  0.500  0.000
F  0.500  0.500  0.500

This record from Alexandria via LeMat-Bulk describes OsPb3F at its PBEsol-relaxed geometry. The functional is meta-GGA SCAN.

Values from the calculation:
E_form (uncorrected) = -0.084 eV per atom

abc: 5.203 5.203 5.203
angles: 90.00 90.00 90.00
Fractional coordinates of all 5 atoms:
Os  0.000  0.000  0.000
Pb  0.000  0.000  0.500
Pb  0.000  0.500  0.000
Pb  0.500  0.000  0.000
F  0.500  0.500  0.500

This record from Alexandria via LeMat-Bulk describes Sb2OsPbF at its PBEsol-relaxed geometry. The functional is meta-GGA SCAN.

Values from the calculation:
E_form (uncorrected) = 0.150 eV per atom

abc: 5.005 5.005 5.554
angles: 90.00 90.00 90.00
Fractional coordinates of all 5 atoms:
Sb  0.000  0.500  0.000
Sb  0.500  0.000  0.000
Os  0.000  0.000  0.000
Pb  0.000  0.000  0.500
F  0.500  0.500  0.500

This record from Alexandria via LeMat-Bulk describes SnOsPb2F at its PBEsol-relaxed geometry. The functional is meta-GGA SCAN.

Values from the calculation:
E_form (uncorrected) = 0.502 eV per atom

abc: 5.183 5.183 4.063
angles: 90.00 90.00 90.00
Fractional coordinates of all 5 atoms:
Sn  0.000  0.000  0.000
Os  0.500  0.500  0.000
Pb  0.000  0.500  0.500
Pb  0.500  0.000  0.500
F  0.500  0.500  0.500

This record from Alexandria via LeMat-Bulk describes ReOsF2 at its PBEsol-relaxed geometry. The functional is meta-GGA SCAN.

Values from the calculation:
E_form (uncorrected) = 1.064 eV per atom

abc: 4.138 4.138 4.138
angles: 60.00 60.00 60.00
Fractional coordinates of all 4 atoms:
Re  0.000  0.000  0.000
Os  0.500  0.500  0.500
F  0.250  0.250  0.250
F  0.750  0.750  0.750

This record from Alexandria via LeMat-Bulk describes ReTe2OsF at its PBEsol-relaxed geometry. The functional is meta-GGA SCAN.

Values from the calculation:
E_form (uncorrected) = 1.394 eV per atom

abc: 4.767 4.767 3.918
angles: 90.00 90.00 90.00
Fractional coordinates of all 5 atoms:
Re  0.000  0.000  0.000
Te  0.000  0.500  0.500
Te  0.500  0.000  0.500
Os  0.500  0.500  0.000
F  0.500  0.500  0.500